(1)
First-principles (PBE) data for crystalline Zn2Ag2Rh at its relaxed geometry, as listed in Alexandria via LeMat-Bulk.

- E_form (eV per formula unit) = 0.23
- E (eV for the cell shown) = -30.7

```
Zn2Ag2Rh
1.0
6.569 0.000 0.000
0.000 6.569 0.000
0.000 0.000 3.757
Zn Rh Ag
4 2 4
Direct
0.364 0.864 0.000
0.864 0.636 0.000
0.636 0.136 0.000
0.136 0.364 0.000
0.000 0.000 0.000
0.500 0.500 0.000
0.170 0.670 0.500
0.670 0.830 0.500
0.830 0.330 0.500
0.330 0.170 0.500
```

(2)
First-principles (PBE) data for crystalline K3PmU2O9 at its relaxed geometry, as listed in Alexandria via LeMat-Bulk.

- E (eV for the cell shown) = -118.3

```
K3PmU2O9
1.0
6.174 0.000 0.000
-3.087 5.347 0.000
0.000 0.000 7.562
K Pm U O
3 1 2 9
Direct
0.333 0.667 0.662
0.000 0.000 0.000
0.667 0.333 0.338
0.000 0.000 0.500
0.333 0.667 0.164
0.667 0.333 0.836
0.823 0.177 0.682
0.823 0.646 0.682
0.354 0.177 0.682
0.646 0.823 0.318
0.177 0.354 0.318
0.177 0.823 0.318
0.500 0.000 0.000
0.000 0.500 0.000
0.500 0.500 0.000
```

(3)
First-principles (PBE) data for crystalline HfZrInC at its relaxed geometry, as listed in Alexandria via LeMat-Bulk.

- E_form (eV per formula unit) = -2.75
- E (eV for the cell shown) = -33.2

```
HfZrInC
1.0
3.341 0.000 0.000
-1.670 2.893 0.000
-1.669 -0.963 7.554
Hf Zr In C
1 1 1 1
Direct
0.077 0.936 0.029
0.526 0.161 0.702
0.968 0.382 0.364
0.307 0.552 0.874
```

(4)
First-principles (PBE) data for crystalline KBa2Sb2 at its relaxed geometry, as listed in Alexandria via LeMat-Bulk.

- E (eV for the cell shown) = -34.5

```
KBa2Sb2
1.0
-9.748 0.165 2.527
2.106 -5.053 8.454
0.576 3.563 1.987
Sb K Ba
4 2 4
Direct
0.335 0.835 0.000
0.835 0.665 0.000
0.665 0.165 0.000
0.165 0.335 0.000
0.000 0.000 0.000
0.500 0.500 0.000
0.133 0.633 0.500
0.633 0.867 0.500
0.867 0.367 0.500
0.367 0.133 0.500
```

(5)
First-principles (PBE) data for crystalline TmSc2Cd at its relaxed geometry, as listed in Alexandria via LeMat-Bulk.

- E_form (eV per formula unit) = -0.39
- E (eV for the cell shown) = -18.4

```
TmSc2Cd
1.0
4.642 0.000 0.000
0.000 4.588 0.000
0.000 0.000 4.588
Sc Tm Cd
2 1 1
Direct
0.000 0.000 0.500
0.000 0.500 0.000
0.500 0.500 0.500
0.500 0.000 0.000
```

(6)
First-principles (PBE) data for crystalline La2PmYAs4 at its relaxed geometry, as listed in Alexandria via LeMat-Bulk.

- E_form (eV per formula unit) = -12.41
- E (eV for the cell shown) = -52.1

```
La2PmYAs4
1.0
-2.921 -2.343 -2.077
-1.167 -3.984 6.136
-5.379 3.153 4.006
La Pm Y As
2 1 1 4
Direct
0.000 0.000 0.000
0.500 0.000 0.500
0.500 0.500 0.000
0.000 0.500 0.500
0.000 0.742 0.750
0.000 0.258 0.250
0.500 0.740 0.256
0.500 0.260 0.744
```

(7)
First-principles (PBE) data for crystalline HgGe at its relaxed geometry, as listed in Alexandria via LeMat-Bulk.

- E_form (eV per formula unit) = 0.34
- E (eV for the cell shown) = -9.2

```
HgGe
1.0
-1.934 2.155 1.018
-3.437 -1.566 1.328
3.254 -1.488 7.893
Hg Ge
2 2
Direct
0.234 0.035 0.911
0.484 0.531 0.191
0.030 0.486 0.636
0.697 0.086 0.467
```

(8)
First-principles (PBE) data for crystalline BaCaPd2 at its relaxed geometry, as listed in Alexandria via LeMat-Bulk.

- E_form (eV per formula unit) = -1.18
- E (eV for the cell shown) = -31.0

```
BaCaPd2
1.0
-2.017 -6.116 4.802
7.776 -1.626 1.195
2.906 -1.767 5.690
Ca Ba Pd
2 2 4
Direct
0.500 0.500 0.000
0.250 0.750 0.500
0.000 0.000 0.000
0.750 0.250 0.500
0.604 0.125 0.250
0.146 0.625 0.250
0.375 0.396 0.750
0.875 0.854 0.750
```

(9)
First-principles (PBE) data for crystalline VCu2SnAs at its relaxed geometry, as listed in Alexandria via LeMat-Bulk.

- E_form (eV per formula unit) = 5.57
- E (eV for the cell shown) = -20.4

```
VCu2SnAs
1.0
4.595 0.000 0.000
0.000 5.107 0.000
0.000 0.000 4.595
As Sn Cu V
1 1 2 1
Direct
0.500 0.500 0.500
0.000 0.500 0.000
0.000 0.000 0.500
0.500 0.000 0.000
0.000 0.000 0.000
```

(10)
First-principles (PBE) data for crystalline Nb2GaMoOs at its relaxed geometry, as listed in Alexandria via LeMat-Bulk.

- E_form (eV per formula unit) = 7.97
- E (eV for the cell shown) = -37.3

```
Nb2GaMoOs
1.0
4.720 0.000 0.000
0.000 4.696 0.000
0.000 0.000 4.720
Mo Os Nb Ga
1 1 2 1
Direct
0.000 0.000 0.000
0.500 0.500 0.500
0.000 0.000 0.500
0.500 0.000 0.000
0.000 0.500 0.000
```

(11)
First-principles (PBE) data for crystalline AcPm3Pr4S8 at its relaxed geometry, as listed in Alexandria via LeMat-Bulk.

- E (eV for the cell shown) = -102.7

```
AcPm3Pr4S8
1.0
-2.750 3.164 7.067
-7.597 0.331 -3.104
4.129 -7.103 0.010
Ac Pm Pr S
1 3 4 8
Direct
0.000 0.500 0.000
0.500 0.500 0.000
0.500 0.500 0.500
0.000 0.500 0.500
0.500 0.000 0.000
0.500 0.000 0.500
0.000 0.000 0.000
0.000 0.000 0.500
0.254 0.749 0.995
0.254 0.749 0.508
0.252 0.257 0.505
0.741 0.749 0.995
0.259 0.251 0.005
0.748 0.743 0.495
0.746 0.251 0.492
0.746 0.251 0.005
```

(12)
First-principles (PBE) data for crystalline CaSm9Ho2 at its relaxed geometry, as listed in Alexandria via LeMat-Bulk.

- E_form (eV per formula unit) = 0.48
- E (eV for the cell shown) = -53.2

```
CaSm9Ho2
1.0
-1.816 4.497 1.659
-4.658 -2.075 0.524
3.395 -3.967 14.476
Ca Sm Ho
1 9 2
Direct
0.000 0.000 0.000
0.500 0.500 0.000
0.500 0.500 0.335
0.500 0.500 0.665
0.500 0.000 0.173
0.500 0.000 0.500
0.500 0.000 0.827
0.000 0.500 0.173
0.000 0.500 0.500
0.000 0.500 0.827
0.000 0.000 0.335
0.000 0.000 0.665
```